# 1
# KPAu2O | Alexandria via LeMat-Bulk | meta-GGA SCAN | PBEsol geometry
# Volume (Å³/f.u.): 94
# E_form (uncorrected) (eV per atom): 0.380
data_KPAu2O
_chemical_formula_sum 'K1 P1 Au2 O1'
_symmetry_space_group_name_H-M 'P 1'
_symmetry_Int_Tables_number 1
_symmetry_space_group_name_Hall 'P 1'
_cell_length_a 4.602
_cell_length_b 4.602
_cell_length_c 4.439
_cell_angle_alpha 90.00
_cell_angle_beta 90.00
_cell_angle_gamma 90.00
loop_
_atom_site_label
_atom_site_type_symbol
_atom_site_fract_x
_atom_site_fract_y
_atom_site_fract_z
K1 K 0.000 0.000 0.000
P1 P 0.500 0.500 0.000
Au1 Au 0.000 0.500 0.500
Au2 Au 0.500 0.000 0.500
O1 O 0.500 0.500 0.500

***

# 2
# KTc2AuO | Alexandria via LeMat-Bulk | meta-GGA SCAN | PBEsol geometry
# Volume (Å³/f.u.): 149
# E_form (uncorrected) (eV per atom): 1.619
data_KTc2AuO
_chemical_formula_sum 'K1 Tc2 Au1 O1'
_symmetry_space_group_name_H-M 'P 1'
_symmetry_Int_Tables_number 1
_symmetry_space_group_name_Hall 'P 1'
_cell_length_a 4.933
_cell_length_b 4.933
_cell_length_c 6.133
_cell_angle_alpha 90.00
_cell_angle_beta 90.00
_cell_angle_gamma 90.00
loop_
_atom_site_label
_atom_site_type_symbol
_atom_site_fract_x
_atom_site_fract_y
_atom_site_fract_z
K1 K 0.000 0.000 0.000
Tc1 Tc 0.000 0.500 0.500
Tc2 Tc 0.500 0.000 0.500
Au1 Au 0.000 0.000 0.500
O1 O 0.500 0.500 0.000

***

# 3
# KOs3Au | Alexandria via LeMat-Bulk | meta-GGA SCAN | PBEsol geometry
# Formation enthalpy at 0 K (meV/atom): 2706
# Volume (Å³/f.u.): 120
data_KOs3Au
_chemical_formula_sum 'K1 Os3 Au1'
_symmetry_space_group_name_H-M 'P 1'
_symmetry_Int_Tables_number 1
_symmetry_space_group_name_Hall 'P 1'
_cell_length_a 4.931
_cell_length_b 4.931
_cell_length_c 4.931
_cell_angle_alpha 90.00
_cell_angle_beta 90.00
_cell_angle_gamma 90.00
loop_
_atom_site_label
_atom_site_type_symbol
_atom_site_fract_x
_atom_site_fract_y
_atom_site_fract_z
K1 K 0.000 0.000 0.000
Os1 Os 0.000 0.500 0.500
Os2 Os 0.500 0.000 0.500
Os3 Os 0.500 0.500 0.000
Au1 Au 0.500 0.500 0.500